Computed, not measured: Nd3InSn2PdPt2 after structural relaxation at the PBE-GGA level of DFT.

Cell and atoms, written as POSCAR:
```
Nd3InSn2PdPt2
1.0
-2.6412 3.0062 1.0130
-5.4256 -3.3254 -4.2779
0.7155 -1.8658 7.4029
In Nd Pd Pt Sn
1 3 1 2 2
Direct
0.0000 0.7484 0.7484
0.5000 0.4154 0.4154
0.5000 0.9985 0.5852
0.5000 0.5852 0.9985
0.5000 0.0054 0.0054
0.0000 0.6662 0.3328
0.0000 0.3328 0.6662
0.0000 0.9983 0.2498
0.0000 0.2498 0.9983
```

Computed properties:
Raw total energy   -51.20 eV for the cell shown
SG   Amm2, No. 38